## 1
## La2MnCl (PBE)

Data for a relaxed La2MnCl crystal.

Unit cell a=5.869 b=5.869 c=4.816 alpha=89.97 beta=89.97 gamma=36.03
Sites, in units of the cell vectors:
Cl: 0.260 0.260 0.125
La: 0.998 0.998 0.125
La: 0.719 0.719 0.625
Mn: 0.523 0.523 0.625

Values from the calculation:
The space group is Amm2, No. 38. The mass density is 6.3 g/cm³.



## 2
## La2MnCl (PBE)

Data for a relaxed La2MnCl crystal.

Unit cell a=4.039 b=4.419 c=5.785 alpha=90.00 beta=90.00 gamma=90.00
Last column: magnetic moment on the atom in μB.
Sites, in units of the cell vectors:
Cl: 0.500 0.500 0.871  0.00
La: 0.000 0.000 0.935  -0.10
La: 0.500 0.500 0.371  -0.13
Mn: 0.000 0.000 0.323  1.25

Values from the calculation:
The space group is Pmm2, No. 25. The mass density is 5.9 g/cm³.



## 3
## La2MnCl (PBE)

Data for a relaxed La2MnCl crystal.

Unit cell a=5.421 b=5.421 c=5.421 alpha=131.77 beta=112.26 gamma=87.42
Last column: magnetic moment on the atom in μB.
Sites, in units of the cell vectors:
Cl: 0.250 0.750 0.500  0.02
La: 0.992 0.992 0.000  -0.22
La: 0.508 0.508 0.000  -0.22
Mn: 0.750 0.250 0.500  2.97

Values from the calculation:
The space group is Immm, No. 71. The mass density is 5.8 g/cm³.



## 4
## La2MnCl (PBE)

Data for a relaxed La2MnCl crystal.

Unit cell a=5.502 b=5.502 c=3.395 alpha=84.38 beta=84.38 gamma=90.92
Last column: magnetic moment on the atom in μB.
Sites, in units of the cell vectors:
Cl: 0.000 0.500 0.500  0.00
La: 0.000 0.000 0.000  -0.22
La: 0.500 0.500 0.000  -0.22
Mn: 0.500 0.000 0.500  3.38

Values from the calculation:
The space group is C2/m, No. 12. The mass density is 6.0 g/cm³.



The winner here is 2, beating the second structure by 6.5 kJ/mol of atoms.



## 1
## La2MnCl (PBE)

Data for a relaxed La2MnCl crystal.

Unit cell a=6.904 b=6.904 c=6.904 alpha=145.12 beta=145.12 gamma=50.15
Last column: magnetic moment on the atom in μB.
Sites, in units of the cell vectors:
Cl: 0.750 0.250 0.500  0.01
La: 0.000 0.000 0.000  -0.30
La: 0.250 0.750 0.500  -0.19
Mn: 0.500 0.500 0.000  3.27

Values from the calculation:
The space group is I-4m2, No. 119. The mass density is 5.7 g/cm³.



## 2
## La2MnCl (PBE)

Data for a relaxed La2MnCl crystal.

Unit cell a=3.532 b=3.532 c=8.180 alpha=90.00 beta=90.00 gamma=105.45
Sites, in units of the cell vectors:
Cl: 0.500 0.500 0.750
La: 0.000 0.000 0.042
La: 0.000 0.000 0.458
Mn: 0.500 0.500 0.250

Values from the calculation:
The space group is Cmmm, No. 65. The mass density is 6.2 g/cm³.



## 3
## La2MnCl (PBE)

Data for a relaxed La2MnCl crystal.

Unit cell a=10.233 b=10.233 c=10.233 alpha=20.73 beta=20.73 gamma=20.73
Last column: magnetic moment on the atom in μB.
Sites, in units of the cell vectors:
Cl: 0.750 0.750 0.750  -0.02
La: 0.014 0.014 0.014  -0.09
La: 0.240 0.240 0.240  0.23
Mn: 0.496 0.496 0.496  -4.01

Values from the calculation:
The space group is R3m, No. 160. The mass density is 5.2 g/cm³.



The winner here is 2, beating the second structure by 24.1 kJ/mol of atoms.



## 1
## LaMn3Cl (PBE)

Data for a relaxed LaMn3Cl crystal.

Unit cell a=5.466 b=5.466 c=5.466 alpha=90.00 beta=90.00 gamma=90.00
Last column: magnetic moment on the atom in μB.
Sites, in units of the cell vectors:
Cl: 0.500 0.500 0.500  0.11
Mn: 0.000 0.500 0.000  3.95
Mn: 0.000 0.000 0.500  3.61
Mn: 0.500 0.000 0.000  4.30
La: 0.000 0.000 0.000  -0.34

Values from the calculation:
The space group is Pm-3m, No. 221. The mass density is 3.4 g/cm³.



## 2
## LaMn3Cl (PBE)

Data for a relaxed LaMn3Cl crystal.

Unit cell a=4.297 b=4.297 c=4.297 alpha=90.00 beta=90.00 gamma=90.00
Sites, in units of the cell vectors:
Cl: 0.000 0.000 0.000
Mn: 0.000 0.500 0.000
Mn: 0.000 0.000 0.500
Mn: 0.500 0.000 0.000
La: 0.500 0.500 0.500

Values from the calculation:
The space group is Pm-3m, No. 221. The mass density is 7.1 g/cm³.



The winner here is 2, beating the second structure by 71.2 kJ/mol of atoms.



## 1
## LaMnS2Cl (PBE)

Data for a relaxed LaMnS2Cl crystal.

Unit cell a=5.119 b=5.149 c=5.119 alpha=90.00 beta=90.00 gamma=90.00
Last column: magnetic moment on the atom in μB.
Sites, in units of the cell vectors:
Cl: 0.000 0.000 0.000  0.00
S: 0.000 0.000 0.500  0.04
S: 0.500 0.000 0.000  0.05
Mn: 0.500 0.500 0.500  4.35
La: 0.000 0.500 0.000  -0.06

Values from the calculation:
The space group is P4/mmm, No. 123. The mass density is 3.6 g/cm³.



## 2
## LaMnS2Cl (PBE)

Data for a relaxed LaMnS2Cl crystal.

Unit cell a=4.739 b=4.739 c=4.564 alpha=90.00 beta=90.00 gamma=90.00
Last column: magnetic moment on the atom in μB.
Sites, in units of the cell vectors:
Cl: 0.000 0.000 0.500  -0.03
S: 0.000 0.500 0.000  -0.02
S: 0.500 0.000 0.000  -0.02
Mn: 0.000 0.000 0.000  -3.41
La: 0.500 0.500 0.500  0.10

Values from the calculation:
The space group is P4/mmm, No. 123. The mass density is 4.8 g/cm³.



The winner here is 2, beating the second structure by 150.3 kJ/mol of atoms.